[1]
Entry from Alexandria: an optimized crystal structure of Tc2Ag (PBE-GGA).

Values from the calculation:
Final energy, eV per atom: -7.53
Energy relative to the lowest polymorph listed for this composition, meV/atom: 104
Calculated formation energy, eV per atom: 0.326
Magnetic moment, Bohr magnetons per cell: 0.0

abc: 2.907 2.907 11.422
angles: 90.00 90.00 90.00
Space group I4/mmm (No. 139)
Asymmetric unit:
Tc 0.000 0.000 0.185
Ag 0.000 0.000 0.500


[2]
Entry from Alexandria: an optimized crystal structure of TcAg2 (PBE-GGA).

Values from the calculation:
Final energy, eV per atom: -4.54
Energy relative to the lowest polymorph listed for this composition, meV/atom: 447
Calculated formation energy, eV per atom: 0.812
Magnetic moment, Bohr magnetons per cell: 6.0

abc: 2.648 4.331 19.511
angles: 90.00 90.00 90.00
Space group Imma (No. 74)
Asymmetric unit:
Tc 0.000 0.250 0.113
Ag 0.000 0.250 0.541
Ag 0.000 0.250 0.686